No. 1
DFT (PBE-GGA) results for an optimized crystal structure of YScNi3.

Lattice parameters (Å, degrees): 4.5462 4.5462 4.5462 90.00 90.00 90.00
Space group Pm-3m (No. 221)
One atom of each set of equivalent atoms:
1 Y 0.0000 0.0000 0.0000 [1 per cell]
2 Sc 0.5000 0.5000 0.5000 [1 per cell]
3 Ni 0.0000 0.5000 0.5000 [3 per cell]

Results
**Formation enthalpy at 0 K**: 257 meV per atom
**N(E_F)**: 3.560 states/eV per cell
**Crystal system**: cubic
**Excess energy over the best structure of this formula in the dataset**: 0 meV/atom

***

No. 2
DFT (PBE-GGA) results for an optimized crystal structure of Y2ScNi.

Lattice parameters (Å, degrees): 8.1508 8.1508 6.0965 90.00 90.00 90.00
Space group I-42d (No. 122)
One atom of each set of equivalent atoms:
1 Y 0.1807 0.7500 0.1250 [8 per cell]
2 Sc 0.0000 0.0000 0.5000 [4 per cell]
3 Ni 0.0000 0.0000 0.0000 [4 per cell]

Results
**Formation enthalpy at 0 K**: 43 meV per atom
**N(E_F)**: 15.168 states/eV per cell
**Crystal system**: tetragonal
**Excess energy over the best structure of this formula in the dataset**: 277 meV/atom

***

No. 3
DFT (PBE-GGA) results for an optimized crystal structure of YSc5Ni2.

Lattice parameters (Å, degrees): 3.5280 11.9818 16.4770 90.00 90.00 90.00
Space group Cmcm (No. 63)
One atom of each set of equivalent atoms:
1 Y 0.0000 0.1427 0.2500 [4 per cell]
2 Sc 0.0000 0.1226 0.7500 [4 per cell]
3 Sc 0.0000 0.1553 0.0442 [8 per cell]
4 Sc 0.0000 0.4429 0.1018 [8 per cell]
5 Ni 0.0000 0.2387 0.6224 [8 per cell]

Results
**Formation enthalpy at 0 K**: -190 meV per atom
**N(E_F)**: 41.406 states/eV per cell
**Crystal system**: orthorhombic

***

No. 4
DFT (PBE-GGA) results for an optimized crystal structure of Y2Sc5Ni3.

Lattice parameters (Å, degrees): 3.5034 29.1742 8.3959 90.00 90.00 90.00
Space group Cmc2_1 (No. 36)
One atom of each set of equivalent atoms:
1 Y 0.0000 0.0217 0.0000 [4 per cell]
2 Y 0.0000 0.3270 0.0694 [4 per cell]
3 Sc 0.0000 0.0882 0.3388 [4 per cell]
4 Sc 0.0000 0.2004 0.2373 [4 per cell]
5 Sc 0.0000 0.2123 0.8746 [4 per cell]
6 Sc 0.0000 0.3731 0.5245 [4 per cell]
7 Sc 0.0000 0.4366 0.1838 [4 per cell]
8 Ni 0.0000 0.1210 0.7890 [4 per cell]
9 Ni 0.0000 0.2538 0.5680 [4 per cell]
10 Ni 0.0000 0.4748 0.7779 [4 per cell]

Results
**Formation enthalpy at 0 K**: -276 meV per atom
**N(E_F)**: 51.105 states/eV per cell
**Crystal system**: orthorhombic